{
  "formula": "PaZn4Ga2",
  "functional": "PBE-GGA",
  "state": "optimized geometry",
  "lattice_angstrom": [[-3.923, -0.669, -0.762], [0.833, -0.370, -3.963], [0.643, -7.048, 2.879]],
  "species": ["Zn", "Zn", "Zn", "Zn", "Pa", "Ga", "Ga"],
  "fractional_positions": [[0.000, 0.310, 0.620], [0.000, 0.690, 0.380], [0.500, 0.185, 0.371], [0.500, 0.815, 0.629], [0.000, 0.000, 0.000], [0.500, 0.417, 0.834], [0.500, 0.583, 0.166]],
  "formation_enthalpy_0k_mev_per_atom": -144.4,
  "dos_at_fermi_per_ev_atom": 0.7550,
  "m_tot_mub_per_fu": 0.002
}